TaTi7Pb2, relaxed, DFT PBE; energy of formation = 0.7974 eV per atom; E = -6.656 eV per atom; SG = Fm-3m (225); calculated volume = 21.806 A^3/atom; magnetization = 3.0 μB/f.u.
1.0
0.0000 4.7773 4.7773
4.7773 0.0000 4.7773
4.7773 4.7773 0.0000
Ta Ti Pb
1 7 2
direct
0.0000 0.0000 0.0000
0.2551 0.2551 0.7449
0.2551 0.7449 0.2551
0.2551 0.7449 0.7449
0.5000 0.5000 0.5000
0.7449 0.2551 0.2551
0.7449 0.2551 0.7449
0.7449 0.7449 0.2551
0.2500 0.2500 0.2500
0.7500 0.7500 0.7500